No. 1
# Ba2TbBr6 | Alexandria | PBE-GGA | relaxed
data_Ba2TbBr6
_chemical_formula_sum 'Ba4 Tb2 Br12'
_symmetry_space_group_name_H-M 'P 42/m n m'
_symmetry_Int_Tables_number 136
_symmetry_space_group_name_Hall '-P 4n 2n'
_cell_length_a 7.567
_cell_length_b 7.567
_cell_length_c 13.244
_cell_angle_alpha 90.00
_cell_angle_beta 90.00
_cell_angle_gamma 90.00
loop_
_atom_site_label
_atom_site_type_symbol
_atom_site_fract_x
_atom_site_fract_y
_atom_site_fract_z
_atom_site_occupancy
Ba1 Ba 0.000 0.000 0.177 1
Tb1 Tb 0.000 0.000 0.500 1
Br1 Br 0.202 0.202 0.356 1
Br2 Br 0.228 0.228 0.000 1
# **Uncorrected formation energy**: -1889 meV per atom
# **DOS(E_F)**: 1.5 states/eV/f.u.
# **Magnetic moment**: 0.11 μB/atom

---

No. 2
# La2YAlCo | Alexandria | PBE-GGA | relaxed
data_La2YAlCo
_chemical_formula_sum 'La2 Y1 Al1 Co1'
_symmetry_space_group_name_H-M 'P 4/m m m'
_symmetry_Int_Tables_number 123
_symmetry_space_group_name_Hall '-P 4 2'
_cell_length_a 5.144
_cell_length_b 5.144
_cell_length_c 5.400
_cell_angle_alpha 90.00
_cell_angle_beta 90.00
_cell_angle_gamma 90.00
loop_
_atom_site_label
_atom_site_type_symbol
_atom_site_fract_x
_atom_site_fract_y
_atom_site_fract_z
_atom_site_occupancy
La1 La 0.000 0.500 0.000 1
Y1 Y 0.000 0.000 0.500 1
Al1 Al 0.500 0.500 0.500 1
Co1 Co 0.000 0.000 0.000 1
# **Energy of formation from the pure elements**: -0.124 eV/atom
# **DOS(E_F)**: 5.7 states/eV/f.u.
# **Energy above the lowest structure with this stoichiometry**: 0 meV per atom
# **Magnetic moment**: 0.00 μB/atom

---

No. 3
# Na2CdIn3Au4 | Alexandria | PBE-GGA | relaxed
data_Na2CdIn3Au4
_chemical_formula_sum 'Na2 Cd1 In3 Au4'
_symmetry_space_group_name_H-M 'P -4 m 2'
_symmetry_Int_Tables_number 115
_cell_length_a 4.661
_cell_length_b 4.661
_cell_length_c 11.620
_cell_angle_alpha 90.00
_cell_angle_beta 90.00
_cell_angle_gamma 90.00
loop_
_symmetry_equiv_pos_as_xyz
'x,y,z'
'y,-x,-z'
'-x,-y,z'
'-y,x,-z'
'-x,y,z'
'-y,-x,-z'
'x,-y,z'
'y,x,-z'
loop_
_atom_site_label
_atom_site_type_symbol
_atom_site_fract_x
_atom_site_fract_y
_atom_site_fract_z
_atom_site_occupancy
Na1 Na 0.000 0.500 0.242 1
Cd1 Cd 0.000 0.000 0.500 1
In1 In 0.000 0.500 0.869 1
In2 In 0.500 0.500 0.500 1
Au1 Au 0.000 0.000 0.000 1
Au2 Au 0.000 0.500 0.638 1
Au3 Au 0.500 0.500 0.000 1
# **Energy of formation from the pure elements**: -0.241 eV/atom
# **DOS(E_F)**: 3.4 states/eV/f.u.
# **Magnetic moment**: 0.00 μB/atom

---

No. 4
# PRu | Alexandria | PBE-GGA | relaxed
data_PRu
_chemical_formula_sum 'P4 Ru4'
_symmetry_space_group_name_H-M 'P 63/m m c'
_symmetry_Int_Tables_number 194
_symmetry_space_group_name_Hall '-P 6c 2c'
_cell_length_a 4.2873
_cell_length_b 4.2873
_cell_length_c 7.4066
_cell_angle_alpha 90.00
_cell_angle_beta 90.00
_cell_angle_gamma 120.00
loop_
_atom_site_label
_atom_site_type_symbol
_atom_site_fract_x
_atom_site_fract_y
_atom_site_fract_z
_atom_site_occupancy
P1 P 0.3333 0.6667 0.0875 1
Ru1 Ru 0.0000 0.0000 0.2500 1
Ru2 Ru 0.3333 0.6667 0.7500 1
# **Energy of formation from the pure elements**: 0.428 eV/atom
# **DOS(E_F)**: 2.2 states/eV/f.u.
# **Energy above the lowest structure with this stoichiometry**: 989 meV per atom
# **Magnetic moment**: 0.00 μB/atom

---

No. 5
# CsBaSn3 | Alexandria | PBE-GGA | relaxed
data_CsBaSn3
_chemical_formula_sum 'Cs1 Ba1 Sn3'
_symmetry_space_group_name_H-M 'P m -3 m'
_symmetry_Int_Tables_number 221
_symmetry_space_group_name_Hall '-P 4 2 3'
_cell_length_a 6.198
_cell_length_b 6.198
_cell_length_c 6.198
_cell_angle_alpha 90.00
_cell_angle_beta 90.00
_cell_angle_gamma 90.00
loop_
_atom_site_label
_atom_site_type_symbol
_atom_site_fract_x
_atom_site_fract_y
_atom_site_fract_z
_atom_site_occupancy
Cs1 Cs 0.000 0.000 0.000 1
Ba1 Ba 0.500 0.500 0.500 1
Sn1 Sn 0.000 0.000 0.500 1
# **Energy of formation from the pure elements**: 0.736 eV/atom
# **DOS(E_F)**: 7.9 states/eV/f.u.
# **Energy above the lowest structure with this stoichiometry**: 1119 meV per atom
# **Magnetic moment**: 0.00 μB/atom

---

No. 6
# BaYN3 | Alexandria | PBE-GGA | relaxed
data_BaYN3
_chemical_formula_sum 'Ba1 Y1 N3'
_symmetry_space_group_name_H-M 'P m -3 m'
_symmetry_Int_Tables_number 221
_symmetry_space_group_name_Hall '-P 4 2 3'
_cell_length_a 4.536
_cell_length_b 4.536
_cell_length_c 4.536
_cell_angle_alpha 90.00
_cell_angle_beta 90.00
_cell_angle_gamma 90.00
loop_
_atom_site_label
_atom_site_type_symbol
_atom_site_fract_x
_atom_site_fract_y
_atom_site_fract_z
_atom_site_occupancy
Ba1 Ba 0.000 0.000 0.000 1
Y1 Y 0.500 0.500 0.500 1
N1 N 0.000 0.500 0.500 1
# **Uncorrected formation energy**: 176 meV per atom
# **DOS(E_F)**: 1.9 states/eV/f.u.
# **Magnetic moment**: 0.79 μB/atom

---

No. 7
# B5C7 | Alexandria | PBE-GGA | relaxed
data_B5C7
_chemical_formula_sum 'B10 C14'
_symmetry_space_group_name_H-M 'C 1 m 1'
_symmetry_Int_Tables_number 8
_cell_length_a 8.621
_cell_length_b 2.513
_cell_length_c 8.242
_cell_angle_alpha 90.00
_cell_angle_beta 119.74
_cell_angle_gamma 90.00
loop_
_symmetry_equiv_pos_as_xyz
'x,y,z'
'x,-y,z'
'x+1/2,y+1/2,z'
'x+1/2,-y+1/2,z'
loop_
_atom_site_label
_atom_site_type_symbol
_atom_site_fract_x
_atom_site_fract_y
_atom_site_fract_z
_atom_site_occupancy
B1 B 0.000 0.000 0.000 1
B2 B 0.003 0.000 0.509 1
B3 B 0.202 0.000 0.460 1
B4 B 0.341 0.000 0.163 1
B5 B 0.473 0.000 0.646 1
C1 C 0.014 0.500 0.140 1
C2 C 0.158 0.500 0.853 1
C3 C 0.164 0.000 0.958 1
C4 C 0.184 0.500 0.324 1
C5 C 0.296 0.000 0.688 1
C6 C 0.309 0.500 0.797 1
C7 C 0.346 0.500 0.298 1
# **Energy of formation from the pure elements**: 0.361 eV/atom
# **DOS(E_F)**: 1.2 states/eV/f.u.
# **Energy above the lowest structure with this stoichiometry**: 103 meV per atom
# **Magnetic moment**: 0.00 μB/atom

---

No. 8
# TlMoS | Alexandria | PBE-GGA | relaxed
data_TlMoS
_chemical_formula_sum 'Tl2 Mo2 S2'
_symmetry_space_group_name_H-M 'P 1 21/m 1'
_symmetry_Int_Tables_number 11
_cell_length_a 3.190
_cell_length_b 4.588
_cell_length_c 8.912
_cell_angle_alpha 90.00
_cell_angle_beta 100.02
_cell_angle_gamma 90.00
loop_
_symmetry_equiv_pos_as_xyz
'x,y,z'
'-x,-y,-z'
'-x,y+1/2,-z'
'x,-y+1/2,z'
loop_
_atom_site_label
_atom_site_type_symbol
_atom_site_fract_x
_atom_site_fract_y
_atom_site_fract_z
_atom_site_occupancy
Tl1 Tl 0.074 0.250 0.137 1
Mo1 Mo 0.275 0.750 0.552 1
S1 S 0.323 0.250 0.651 1
# **Uncorrected formation energy**: -247 meV per atom
# **DOS(E_F)**: 2.1 states/eV/f.u.
# **Magnetic moment**: 0.00 μB/atom

---

- Look up the DOS(E_F) of the first one.
  1.5 states/eV/f.u.

---

- The highest magnetic moment belongs to which entry?
  BaYN3